# 1
Material: Pr5PuSn5
Method: DFT, PBE
State: relaxed

**ΔH_f (0 K)**: -0.388 eV/atom
**Space group**: C2/m (12)

abc: 6.375 7.898 8.868
angles: 106.61 90.00 113.80
Each line ends with the local moment (μB).
Positions (direct):
Pu 0.000 0.000 0.000  5.24
Pr 0.333 0.667 0.170  -0.01
Pr 0.329 0.657 0.666  -0.02
Pr 0.667 0.333 0.830  -0.01
Sn 0.839 0.678 0.672  0.00
Sn 0.161 0.322 0.328  0.00
Sn 0.500 0.000 0.000  0.00
Pr 0.000 0.000 0.500  0.05
Sn 0.840 0.679 0.163  -0.01
Pr 0.671 0.343 0.334  -0.02
Sn 0.160 0.321 0.837  -0.01


# 2
Material: Ba2LaOsN
Method: DFT, PBE
State: relaxed

**Formation energy (no corrections)**: 0.270 eV per atom
**Space group**: P4/mmm (123)

abc: 5.466 4.813 5.466
angles: 90.00 90.00 90.00
Each line ends with the local moment (μB).
Positions (direct):
Ba 0.000 0.000 0.500  -0.04
N 0.000 0.000 0.000  0.00
Ba 0.500 0.000 0.000  -0.04
La 0.000 0.500 0.000  -0.06
Os 0.500 0.500 0.500  0.66


# 3
Material: MgBeTl
Method: DFT, PBE
State: relaxed

**ΔH_f (0 K)**: 0.348 eV/atom
**Relative energy among the computed polymorphs**: 0.174 eV/atom
**Space group**: P-6m2 (187)

abc: 4.350 4.350 3.501
angles: 90.00 90.00 120.00
Positions (direct):
Be 0.000 0.000 0.834
Tl 0.333 0.667 0.833
Mg 0.667 0.333 0.333


# 4
Material: Si2SbCl
Method: DFT, PBE
State: relaxed

**Relative energy among the computed polymorphs**: 0.531 eV/atom
**Formation energy (no corrections)**: 0.411 eV per atom
**Space group**: Fm-3m (225)

abc: 4.859 4.859 4.859
angles: 60.00 60.00 60.00
Positions (direct):
Cl 0.000 0.000 0.000
Si 0.250 0.250 0.250
Sb 0.500 0.500 0.500
Si 0.750 0.750 0.750


# 5
Material: TlTcAu2
Method: DFT, PBE
State: relaxed

**ΔH_f (0 K)**: 0.545 eV/atom
**Relative energy among the computed polymorphs**: 0.141 eV/atom
**Space group**: F-43m (216)

abc: 4.732 4.732 4.732
angles: 60.00 60.00 60.00
Each line ends with the local moment (μB).
Positions (direct):
Tc 0.500 0.500 0.500  1.70
Au 0.000 0.000 0.000  0.00
Au 0.250 0.250 0.250  0.03
Tl 0.750 0.750 0.750  -0.05


# 6
Material: CaAcAlZn
Method: DFT, PBE
State: relaxed

**ΔH_f (0 K)**: -0.253 eV/atom
**Space group**: F-43m (216)

abc: 5.445 5.445 5.445
angles: 60.00 60.00 60.00
Positions (direct):
Ac 0.750 0.750 0.750
Ca 0.250 0.250 0.250
Zn 0.000 0.000 0.000
Al 0.500 0.500 0.500


# 7
Material: Mn2SnHg
Method: DFT, PBE
State: relaxed

**ΔH_f (0 K)**: 0.312 eV/atom
**Space group**: Fm-3m (225)

abc: 4.717 4.717 4.717
angles: 60.00 60.00 60.00
Each line ends with the local moment (μB).
Positions (direct):
Mn 0.750 0.750 0.750  -3.50
Sn 0.000 0.000 0.000  0.11
Hg 0.500 0.500 0.500  0.04
Mn 0.250 0.250 0.250  -3.50


# 8
Material: La2Pm3Y2
Method: DFT, PBE
State: relaxed

**ΔH_f (0 K)**: 0.113 eV/atom
**Relative energy among the computed polymorphs**: 0.100 eV/atom
**Space group**: C2/m (12)

abc: 3.572 8.716 9.156
angles: 118.33 101.25 90.00
Positions (direct):
Pm 0.000 0.500 0.000
Y 0.849 0.661 0.699
Pm 0.213 0.796 0.425
La 0.435 0.087 0.869
Y 0.151 0.339 0.301
La 0.565 0.913 0.131
Pm 0.787 0.204 0.575


# 9
Material: TaAsP4
Method: DFT, PBE
State: relaxed

**ΔH_f (0 K)**: 0.610 eV/atom
**Space group**: F-43m (216)

abc: 5.064 5.064 5.064
angles: 60.00 60.00 60.00
Positions (direct):
P 0.871 0.376 0.376
Ta 0.750 0.750 0.750
P 0.376 0.376 0.376
P 0.376 0.871 0.376
As 0.000 0.000 0.000
P 0.376 0.376 0.871


# 10
Material: Ho4ScSn2
Method: DFT, PBE
State: relaxed

**ΔH_f (0 K)**: 0.239 eV/atom
**Space group**: I4/mmm (139)

abc: 5.110 5.110 8.995
angles: 106.50 106.50 90.00
Positions (direct):
Ho 0.500 0.000 0.000
Ho 0.000 0.500 0.000
Ho 0.183 0.183 0.365
Sc 0.000 0.000 0.000
Sn 0.368 0.368 0.737
Sn 0.632 0.632 0.263
Ho 0.817 0.817 0.635


# 11
Material: Er12Sb3C5
Method: DFT, PBE
State: relaxed

**Formation energy (no corrections)**: -0.410 eV per atom
**Space group**: Ia-3d (230)

abc: 13.550 13.550 13.550
angles: 109.47 109.47 109.47
Positions (direct):
Er 0.587 0.888 0.404
C 0.000 0.500 0.000
Sb 0.875 0.125 0.250
Er 0.112 0.699 0.516
Er 0.683 0.199 0.587
Er 0.984 0.388 0.301
Er 0.699 0.587 0.183
Er 0.913 0.817 0.801
Sb 0.375 0.750 0.625
Er 0.587 0.699 0.683
C 0.500 0.500 0.500
Er 0.317 0.801 0.413
Er 0.183 0.087 0.699
Er 0.199 0.683 0.087
C 0.500 0.500 0.000
Er 0.413 0.301 0.317
Er 0.413 0.112 0.596
C 0.125 0.375 0.250
Er 0.596 0.612 0.413
Er 0.801 0.317 0.913
Er 0.904 0.087 0.888
Er 0.612 0.596 0.913
Sb 0.250 0.625 0.875
Er 0.016 0.404 0.817
Sb 0.125 0.875 0.750
Er 0.096 0.913 0.112
Sb 0.875 0.750 0.125
Sb 0.250 0.125 0.375
Er 0.484 0.683 0.096
Er 0.087 0.904 0.388
Er 0.388 0.984 0.801
Er 0.096 0.183 0.484
Er 0.016 0.612 0.699
C 0.375 0.125 0.750
Er 0.388 0.404 0.087
C 0.500 0.000 0.500
C 0.250 0.875 0.125
Er 0.404 0.016 0.317
Sb 0.750 0.375 0.125
C 0.750 0.625 0.375
Er 0.516 0.199 0.112
Sb 0.625 0.250 0.375
Er 0.596 0.984 0.683
C 0.000 0.500 0.500
C 0.250 0.375 0.625
Er 0.817 0.904 0.016
Sb 0.125 0.250 0.875
Er 0.612 0.016 0.199
Er 0.683 0.484 0.596
C 0.625 0.750 0.875
Er 0.817 0.913 0.301
Er 0.199 0.516 0.612
C 0.000 0.000 0.000
C 0.625 0.875 0.250
Er 0.484 0.801 0.888
Er 0.984 0.596 0.183
Er 0.087 0.183 0.199
Er 0.516 0.317 0.904
C 0.125 0.750 0.375
Er 0.404 0.388 0.587
C 0.000 0.000 0.500
Er 0.183 0.096 0.984
C 0.375 0.250 0.125
Er 0.888 0.301 0.484
Er 0.888 0.587 0.904
C 0.875 0.625 0.750
C 0.500 0.000 0.000
Er 0.301 0.413 0.817
Er 0.699 0.112 0.016
Sb 0.375 0.625 0.250
Er 0.913 0.096 0.612
C 0.875 0.250 0.625
Er 0.317 0.516 0.404
Sb 0.750 0.875 0.625
C 0.750 0.125 0.875
Er 0.801 0.484 0.388
Er 0.112 0.413 0.096
Er 0.904 0.817 0.516
Er 0.301 0.888 0.984
Sb 0.625 0.375 0.750


# 12
Material: TbThPb2
Method: DFT, PBE
State: relaxed

**ΔH_f (0 K)**: -0.373 eV/atom
**Space group**: Amm2 (38)

abc: 4.509 4.613 6.360
angles: 90.00 110.80 90.00
Positions (direct):
Th 0.453 0.500 0.445
Pb 0.183 0.500 0.906
Tb 0.714 0.000 0.966
Pb 0.981 0.000 0.501


# 13
Material: NbIr2C
Method: DFT, PBE
State: relaxed

**ΔH_f (0 K)**: 0.336 eV/atom
**Space group**: I-42d (122)

abc: 5.209 5.209 6.239
angles: 65.33 65.33 90.00
Positions (direct):
Nb 0.750 0.250 0.500
Ir 0.875 0.785 0.750
C 0.250 0.750 0.500
Nb 0.000 0.000 0.000
C 0.500 0.500 0.000
Ir 0.375 0.465 0.750
Ir 0.215 0.625 0.250
Ir 0.535 0.125 0.250


# 14
Material: MnTlCu2I8
Method: DFT, PBE
State: relaxed

**Formation energy (no corrections)**: -0.152 eV per atom
**Space group**: R32 (155)

abc: 6.972 6.972 11.214
angles: 71.89 71.89 60.00
Each line ends with the local moment (μB).
Positions (direct):
Cu 0.246 0.246 0.263  -0.21
I 0.139 0.762 0.676  -0.09
I 0.577 0.238 0.324  -0.09
I 0.861 0.577 0.324  -0.09
I 0.762 0.423 0.676  -0.09
I 0.423 0.139 0.676  -0.09
Tl 0.000 0.000 0.000  0.00
I 0.327 0.327 0.018  -0.17
I 0.673 0.673 0.982  -0.17
Mn 0.500 0.500 0.500  3.95
I 0.238 0.861 0.324  -0.09
Cu 0.754 0.754 0.737  -0.21


# 15
Material: InTcGe3
Method: DFT, PBE
State: relaxed

**ΔH_f (0 K)**: 0.249 eV/atom
**Relative energy among the computed polymorphs**: 0.000 eV/atom
**Space group**: Pm-3m (221)

abc: 4.870 4.870 4.870
angles: 90.00 90.00 90.00
Positions (direct):
Ge 0.500 0.000 0.000
In 0.500 0.500 0.500
Tc 0.000 0.000 0.000
Ge 0.000 0.500 0.000
Ge 0.000 0.000 0.500


# 16
Material: CaSi2Tc
Method: DFT, PBE
State: relaxed

**Relative energy among the computed polymorphs**: 0.046 eV/atom
**Formation energy (no corrections)**: -0.409 eV per atom
**Space group**: P4/mmm (123)

abc: 3.126 3.126 6.954
angles: 90.00 90.00 90.00
Positions (direct):
Tc 0.500 0.500 0.250
Ca 0.500 0.500 0.750
Si 0.000 0.000 0.438
Si 0.000 0.000 0.062


# 17
Material: TlSiHSe
Method: DFT, PBE
State: relaxed

**Relative energy among the computed polymorphs**: 0.259 eV/atom
**Space group**: P1 (1)

abc: 3.884 4.272 5.861
angles: 105.18 101.90 89.63
Positions (direct):
Si 0.013 0.027 0.805
Se 0.923 0.954 0.370
Tl 0.520 0.536 0.835
H 0.209 0.722 0.335


# 18
Material: Sb2Pd3Pt3
Method: DFT, PBE
State: relaxed

**Formation energy (no corrections)**: -0.213 eV per atom
**Space group**: R32 (155)

abc: 5.411 5.411 5.411
angles: 105.93 105.93 74.07
Positions (direct):
Pd 0.741 0.000 0.741
Pd 0.259 0.741 0.000
Pd 0.000 0.259 0.259
Sb 0.762 0.762 0.238
Pt 0.747 0.500 0.747
Sb 0.238 0.238 0.762
Pt 0.253 0.747 0.500
Pt 0.500 0.253 0.253


# 19
Material: ThScCoPd
Method: DFT, PBE
State: relaxed

**ΔH_f (0 K)**: -0.428 eV/atom
**Space group**: F-43m (216)

abc: 4.840 4.840 4.840
angles: 60.00 60.00 60.00
Each line ends with the local moment (μB).
Positions (direct):
Th 0.500 0.500 0.500  -0.03
Sc 0.000 0.000 0.000  -0.05
Pd 0.750 0.750 0.750  0.01
Co 0.250 0.250 0.250  0.57


# 20
Material: In2PtRh
Method: DFT, PBE
State: relaxed

**ΔH_f (0 K)**: -0.404 eV/atom
**Space group**: Cmmm (65)

abc: 4.667 4.667 3.257
angles: 90.03 90.03 98.14
Positions (direct):
Rh 0.000 0.500 0.500
Pt 0.500 0.000 0.500
In 0.000 0.000 0.000
In 0.500 0.500 0.000


no.,size of the total moment (μB/f.u.)
1,5.76
2,0.33
3,0.00
4,0.00
5,1.81
6,0.00
7,7.15
8,0.00
9,0.00
10,0.00
11,0.00
12,0.00
13,0.00
14,2.55
15,0.00
16,0.00
17,0.00
18,0.00
19,0.47
20,0.00